# Ca2TlCu (meta-GGA SCAN, single point on PBEsol structure)
data_Ca2TlCu
_chemical_formula_sum 'Ca2 Tl1 Cu1'
_cell_length_a 3.598
_cell_length_b 3.598
_cell_length_c 7.597
_cell_angle_alpha 90.00
_cell_angle_beta 90.00
_cell_angle_gamma 90.00
_symmetry_space_group_name_H-M 'P 4/m m m'
_symmetry_Int_Tables_number 123
_symmetry_space_group_name_Hall '-P 4 2'
loop_
_atom_site_label
_atom_site_fract_x
_atom_site_fract_y
_atom_site_fract_z
Ca1 0.000 0.000 0.226
Tl1 0.500 0.500 0.500
Cu1 0.500 0.500 0.000
# - D(E_F): 0.69 states/eV/atom
# - Total moment: 0.000 μB per cell
# - Calculated formation energy: -1.20 eV per formula unit
# - Final energy: -108.08 eV/cell